No. 1
First-principles (PBE-GGA) data for an optimized crystal structure of Nd4Sm4Cd, as listed in Alexandria via LeMat-Bulk.

Unit cell a=8.0601 b=8.0601 c=8.0601 alpha=95.66 beta=95.66 gamma=143.41
Closest atoms and distances in Å follow each position.
Positions (direct):
Nd  0.1637  0.1637  0.3274  4 Nd 3.54-3.66, 2 Cd 3.56, 6 Sm 3.59-3.64
Nd  0.1637  0.8363  0.0000  4 Nd 3.54-3.66, 2 Cd 3.56, 6 Sm 3.59-3.64
Nd  0.8363  0.1637  0.0000  4 Nd 3.54-3.66, 2 Cd 3.56, 6 Sm 3.59-3.64
Nd  0.8363  0.8363  0.6726  4 Nd 3.54-3.66, 2 Cd 3.56, 6 Sm 3.59-3.64
Sm  0.1675  0.5000  0.6675  6 Nd 3.59-3.64, 1 Cd 3.60, 5 Sm 3.60-3.63
Sm  0.5000  0.1675  0.6675  6 Nd 3.59-3.64, 1 Cd 3.60, 5 Sm 3.60-3.63
Sm  0.5000  0.8325  0.3325  6 Nd 3.59-3.64, 1 Cd 3.60, 5 Sm 3.60-3.63
Sm  0.8325  0.5000  0.3325  6 Nd 3.59-3.64, 1 Cd 3.60, 5 Sm 3.60-3.63
Cd  0.5000  0.5000  0.0000  8 Nd 3.56, 4 Sm 3.60

Output
**Crystal system**: tetragonal
**Calculated total energy**: -4.3365 eV/atom
**Calculated formation energy**: -18.4 meV per atom
**Symmetry**: No. 139
**Size of the total moment**: 0.000 μB per cell

No. 2
First-principles (PBE-GGA) data for an optimized crystal structure of AgSbN, as listed in Alexandria via LeMat-Bulk.

Unit cell a=3.3305 b=6.0448 c=6.2519 alpha=118.15 beta=90.05 gamma=90.12
Closest atoms and distances in Å follow each position.
Positions (direct):
Ag  0.2477  0.3967  0.2670  1 N 2.24
Ag  0.7523  0.6033  0.7330  1 N 2.24
Sb  0.2505  0.0389  0.7457  3 N 2.16-2.19
Sb  0.7495  0.9611  0.2543  3 N 2.16-2.19
N  0.2489  0.7999  0.3523  3 Sb 2.16-2.19, 1 Ag 2.24
N  0.7511  0.2001  0.6477  3 Sb 2.16-2.19, 1 Ag 2.24

Output
**ΔE to the lowest computed polymorph**: 353 meV per atom
**Crystal system**: triclinic
**Calculated total energy**: -4.6310 eV/atom
**Raw formation energy**: 45.22 kJ per mole of atoms
**Symmetry**: No. 2
**Size of the total moment**: 0.000 μB per cell

No. 3
First-principles (PBE-GGA) data for an optimized crystal structure of TmHfZr5, as listed in Alexandria via LeMat-Bulk.

Unit cell a=7.6731 b=7.6731 c=6.2284 alpha=101.85 beta=101.85 gamma=97.41
Closest atoms and distances in Å follow each position.
Positions (direct):
Tm  0.1540  0.8460  0.7500  7 Zr 3.02-3.25
Tm  0.8460  0.1540  0.2500  7 Zr 3.02-3.25
Hf  0.0000  0.5000  0.0000  6 Zr 2.99-3.34
Hf  0.5000  0.0000  0.5000  6 Zr 2.99-3.34
Zr  0.1116  0.8884  0.2500  2 Hf 2.99, 4 Zr 3.01-3.29, 3 Tm 3.06-3.15
Zr  0.2227  0.2850  0.6375  6 Zr 2.99-3.31, 1 Tm 3.25, 1 Hf 3.35
Zr  0.2850  0.2227  0.1375  6 Zr 2.99-3.31, 1 Tm 3.25, 1 Hf 3.35
Zr  0.3408  0.6035  0.4607  4 Zr 2.85-3.11, 1 Tm 3.02, 1 Hf 3.07
Zr  0.3965  0.6592  0.0393  4 Zr 2.85-3.11, 1 Tm 3.02, 1 Hf 3.07
Zr  0.6035  0.3408  0.9607  4 Zr 2.85-3.11, 1 Tm 3.02, 1 Hf 3.07
Zr  0.6592  0.3965  0.5393  4 Zr 2.85-3.11, 1 Tm 3.02, 1 Hf 3.07
Zr  0.7150  0.7773  0.8625  6 Zr 2.99-3.31, 1 Tm 3.25, 1 Hf 3.35
Zr  0.7773  0.7150  0.3625  6 Zr 2.99-3.31, 1 Tm 3.25, 1 Hf 3.35
Zr  0.8884  0.1116  0.7500  2 Hf 2.99, 4 Zr 3.01-3.29, 3 Tm 3.06-3.15

Output
**Crystal system**: monoclinic
**Calculated total energy**: -7.9365 eV/atom
**Calculated formation energy**: 230.0 meV per atom
**Symmetry**: No. 15
**Size of the total moment**: 0.000 μB per cell

No. 4
First-principles (PBE-GGA) data for an optimized crystal structure of CsTbMg2Br8, as listed in Alexandria via LeMat-Bulk.

Unit cell a=7.0323 b=7.1487 c=9.9599 alpha=72.25 beta=74.40 gamma=72.52
Closest atoms and distances in Å follow each position.
Positions (direct):
Cs  0.0000  0.0000  0.0000  6 Br 3.63-4.05
Tb  0.0000  0.0000  0.5000  6 Br 2.80-2.86
Mg  0.4583  0.4496  0.2112  5 Br 2.57-2.73
Mg  0.5417  0.5504  0.7888  5 Br 2.57-2.73
Br  0.1795  0.7063  0.7278  1 Mg 2.61, 1 Tb 2.86
Br  0.2658  0.7853  0.2982  1 Mg 2.65, 1 Tb 2.83
Br  0.2755  0.2365  0.4524  1 Mg 2.65, 1 Tb 2.80
Br  0.3859  0.2978  0.0330  2 Mg 2.57-2.73
Br  0.6141  0.7022  0.9670  2 Mg 2.57-2.73
Br  0.7245  0.7635  0.5476  1 Mg 2.65, 1 Tb 2.80
Br  0.7342  0.2147  0.7018  1 Mg 2.65, 1 Tb 2.83
Br  0.8205  0.2937  0.2722  1 Mg 2.61, 1 Tb 2.86

Output
**Crystal system**: triclinic
**Calculated total energy**: -3.4476 eV/atom
**Raw formation energy**: -155.30 kJ per mole of atoms
**Symmetry**: No. 2
**Size of the total moment**: 0.000 μB per cell

No. 5
First-principles (PBE-GGA) data for an optimized crystal structure of Te2RhPb, as listed in Alexandria via LeMat-Bulk.

Unit cell a=12.0680 b=12.0680 c=12.0680 alpha=15.33 beta=15.33 gamma=15.33
Closest atoms and distances in Å follow each position.
Positions (direct):
Te  0.0714  0.0714  0.0714  1 Rh 2.55
Te  0.9286  0.9286  0.9286  1 Rh 2.55
Rh  0.0000  0.0000  0.0000  2 Te 2.55
Pb  0.5000  0.5000  0.5000  6 Pb 3.22

Output
**Crystal system**: trigonal
**Calculated total energy**: -4.0360 eV/atom
**Raw formation energy**: 28.92 kJ per mole of atoms
**Symmetry**: No. 166
**Size of the total moment**: 0.000 μB per cell

No. 6
First-principles (PBE-GGA) data for an optimized crystal structure of ScAl2BrO, as listed in Alexandria via LeMat-Bulk.

Unit cell a=5.8350 b=5.8350 c=3.8850 alpha=90.00 beta=90.00 gamma=90.00
Closest atoms and distances in Å follow each position.
Positions (direct):
Sc  0.0000  0.0000  0.0000  2 O 1.94
Al  0.0000  0.5000  0.0000  2 Sc 2.92
Al  0.5000  0.0000  0.0000  2 Sc 2.92
Br  0.5000  0.5000  0.5000  8 Al 3.51, 2 Br 3.88
O  0.0000  0.0000  0.5000  2 Sc 1.94

Output
**Crystal system**: tetragonal
**Calculated total energy**: -4.5456 eV/atom
**Raw formation energy**: -44.00 kJ per mole of atoms
**Symmetry**: No. 123
**Size of the total moment**: 0.000 μB per cell